Below is crystalline Cd3FeF at its relaxed geometry, with properties calculated at the GGA+U level.

Summary:
energy relative to the lowest polymorph listed for this composition	0.00	eV/f.u.
total moment	3.279	μB/f.u.

a b c (Å): 5.2004 5.2004 5.2004
angles (deg): 90.00 90.00 90.00
Fractional positions:
Cd 0.0000 0.0000 0.5000
Cd 0.0000 0.5000 0.0000
Cd 0.5000 0.0000 0.0000
Fe 0.0000 0.0000 0.0000
F 0.5000 0.5000 0.5000